! Ho5Er2Sb5 PBE-GGA optimized geometry; values from VASP
&SYSTEM
  ibrav = 0, nat = 12, ntyp = 3
/
ATOMIC_SPECIES
Ho 164.93 Ho.upf
Er 167.26 Er.upf
Sb 121.76 Sb.upf
CELL_PARAMETERS angstrom
4.327 0.000 0.000
-2.163 7.070 -0.276
0.000 -3.839 11.859
ATOMIC_POSITIONS crystal
Ho 0.500 0.000 0.500
Ho 0.660 0.321 0.034
Ho 0.720 0.440 0.342
Ho 0.280 0.560 0.658
Ho 0.340 0.679 0.966
Er 0.047 0.094 0.787
Er 0.953 0.906 0.213
Sb 0.118 0.237 0.432
Sb 0.696 0.393 0.789
Sb 0.304 0.607 0.211
Sb 0.882 0.763 0.568
Sb 0.000 0.000 0.000
! **Energy relative to the elements, uncorrected**: -0.819 eV per atom
! **Final energy**: -5.20 eV/atom
! **SG**: No. 12